# 1
This record from the Alexandria database describes an optimized crystal structure of Er2HgPb3. The functional is PBE.

It has space group Cmcm (No. 63), with a = 12.3201 Å, b = 11.7075 Å, c = 4.8643 Å, α = 90.00°, β = 90.00° and γ = 90.00°. The asymmetric unit holds Er at (0.1486, 0.1410, 0.2500), Hg at (0.0000, 0.0829, 0.7500), Pb at (0.0000, 0.3484, 0.7500) and Pb at (0.1917, 0.4033, 0.2500).

For the mass density, the calculation gives 10.95 g/cm³. The calculated volume comes out at 701.62 Å³ per cell. The calculation puts the excess energy over the best structure of this formula in the dataset at 151 meV per atom. The electronic total energy comes out at -3.637 eV per atom. Its energy of formation is -0.211 eV per atom.

# 2
This record from the Alexandria database describes an optimized crystal structure of MnMoAs2Se. The functional is PBE.

It has space group P4/mmm (No. 123), with a = 4.5528 Å, b = 4.5528 Å, c = 4.9973 Å, α = 90.00°, β = 90.00° and γ = 90.00°. The asymmetric unit holds Mn at (0.0000, 0.0000, 0.0000), Mo at (0.5000, 0.5000, 0.5000), As at (0.0000, 0.5000, 0.0000) and Se at (0.0000, 0.0000, 0.5000).

For the mass density, the calculation gives 6.09 g/cm³. The calculation puts the formation energy without anion corrections at 0.75 eV/atom. The calculated volume comes out at 103.58 Å³ per cell. The calculation puts the excess energy over the best structure of this formula in the dataset at 0 meV per atom. The electronic total energy comes out at -5.804 eV per atom.

# 3
This record from the Alexandria database describes an optimized crystal structure of Pr2ZrHg. The functional is PBE.

It has space group P4/mmm (No. 123), with a = 5.6894 Å, b = 5.6894 Å, c = 3.5235 Å, α = 90.00°, β = 90.00° and γ = 90.00°. The asymmetric unit holds Pr at (0.0000, 0.5000, 0.0000), Zr at (0.0000, 0.0000, 0.5000) and Hg at (0.5000, 0.5000, 0.5000).

For the mass density, the calculation gives 8.35 g/cm³. The calculated volume comes out at 114.05 Å³ per cell. The calculation puts the excess energy over the best structure of this formula in the dataset at 57 meV per atom. The electronic total energy comes out at -4.662 eV per atom. Its energy of formation is -0.060 eV per atom.

Number 1 is which compound?
Er2HgPb3